Model a:
# NaHo2Hg

NaHo2Hg after structural relaxation (PBE, Alexandria via LeMat-Bulk).

Cell: 11.9604 11.9604 11.9604 Å, 16.97 16.97 16.97°
Atoms (fractional coordinates):
Na 0.0000 0.0000 0.0000
Ho 0.0991 0.0991 0.0991
Ho 0.9009 0.9009 0.9009
Hg 0.5000 0.5000 0.5000

Computed properties:
M_tot: 0.00 μB/f.u.
SG: R-3m



Model b:
# NaHo2Hg

NaHo2Hg after structural relaxation (PBE, Alexandria via LeMat-Bulk).

Cell: 5.2120 5.2120 3.9388 Å, 90.00 90.00 90.00°
Atoms (fractional coordinates):
Na 0.0000 0.0000 0.0000
Ho 0.0000 0.5000 0.5000
Ho 0.5000 0.0000 0.5000
Hg 0.5000 0.5000 0.0000

Computed properties:
M_tot: 0.00 μB/f.u.
SG: P4/mmm



Energetically preferred structure: model b | next structure: +87 meV/atom



Model a:
# NaHoHg

NaHoHg after structural relaxation (PBE, Alexandria via LeMat-Bulk).

Cell: 7.0419 7.0419 7.0419 Å, 149.58 149.58 43.56°
Atoms (fractional coordinates):
Na 0.0000 0.0000 0.0000
Ho 0.2795 0.2795 0.0000
Hg 0.6600 0.6600 0.0000

Computed properties:
M_tot: 0.00 μB/f.u.
SG: I4mm



Model b:
# NaHoHg

NaHoHg after structural relaxation (PBE, Alexandria via LeMat-Bulk).

Cell: 4.8109 3.8276 8.8231 Å, 90.00 90.06 90.00°
Atoms (fractional coordinates):
Na 0.2499 0.2500 0.0145
Na 0.7501 0.7500 0.9855
Ho 0.2501 0.7500 0.3745
Ho 0.7499 0.2500 0.6255
Hg 0.2501 0.7500 0.7197
Hg 0.7499 0.2500 0.2803

Computed properties:
M_tot: 0.00 μB/f.u.
SG: P2_1/m



Energetically preferred structure: model b | next structure: +103 meV/atom



Model a:
# NdHo2Hg4

NdHo2Hg4 after structural relaxation (PBE, Alexandria via LeMat-Bulk).

Cell: 9.4247 9.4247 9.4247 Å, 30.47 30.47 30.47°
Atoms (fractional coordinates):
Nd 0.0000 0.0000 0.0000
Ho 0.1246 0.1246 0.1246
Ho 0.8754 0.8754 0.8754
Hg 0.2459 0.2459 0.2459
Hg 0.3963 0.3963 0.3963
Hg 0.6037 0.6037 0.6037
Hg 0.7541 0.7541 0.7541

Computed properties:
M_tot: 0.00 μB/f.u.
SG: R-3m



Model b:
# NdHo2Hg4

NdHo2Hg4 after structural relaxation (PBE, Alexandria via LeMat-Bulk).

Cell: 6.4521 6.4521 5.1372 Å, 90.00 90.00 111.80°
Atoms (fractional coordinates):
Nd 0.0000 0.0000 0.0000
Ho 0.2563 0.7437 0.5000
Ho 0.7437 0.2563 0.5000
Hg 0.0000 0.5000 0.0000
Hg 0.2742 0.2742 0.5000
Hg 0.5000 0.0000 0.0000
Hg 0.7258 0.7258 0.5000

Computed properties:
M_tot: 0.00 μB/f.u.
SG: Cmmm



Energetically preferred structure: model b | next structure: +74 meV/atom